Material: Cs2Pm2CoO6
Method: DFT, PBE+U
State: optimized geometry

## Properties
The total energy comes out at -67.5 eV/f.u.

Cell and atoms, written as CIF:
```
data_Cs2Pm2CoO6
_chemical_formula_sum 'Cs4 Pm4 Co2 O12'
_cell_length_a 5.9444
_cell_length_b 10.1890
_cell_length_c 7.1681
_cell_angle_alpha 90.00
_cell_angle_beta 103.98
_cell_angle_gamma 90.00
_symmetry_space_group_name_H-M 'C 1 2/m 1'
_symmetry_Int_Tables_number 12
loop_
_symmetry_equiv_pos_as_xyz
'x,y,z'
'-x,-y,-z'
'-x,y,-z'
'x,-y,z'
'x+1/2,y+1/2,z'
'-x+1/2,-y+1/2,-z'
'-x+1/2,y+1/2,-z'
'x+1/2,-y+1/2,z'
loop_
_atom_site_label
_atom_site_fract_x
_atom_site_fract_y
_atom_site_fract_z
_atom_site_occupancy
Cs1 0.0000 0.1648 0.0000 1
Pm1 0.0000 0.3349 0.5000 1
Co1 0.0000 0.0000 0.5000 1
O1 0.1883 0.1450 0.6518 1
O2 0.2350 0.0000 0.3447 1
```